# 1
An optimized crystal structure of Tb6Ce2PrSm3, computed with GGA-PBE.

Geometry as extended XYZ:
```
12
Lattice="3.1060 -5.3811 0.0000 3.1060 5.3811 0.0000 -2.0728 0.0000 11.6455" Properties=species:S:1:pos:R:3 pbc="T T T"
Tb -0.0135 1.8101 8.7550
Tb 1.0182 0.0000 2.8907
Tb -0.0135 -1.8101 8.7550
Tb 4.1528 1.8101 2.8905
Tb 3.1210 0.0000 8.7549
Tb 4.1528 -1.8101 2.8905
Ce 3.1060 3.5870 0.0000
Ce 3.1060 -3.5870 0.0000
Pr 3.1060 0.0000 0.0000
Sm -1.0364 0.0000 5.8228
Sm 2.0696 1.7892 5.8228
Sm 2.0696 -1.7892 5.8228
```

Properties
* density of states at the Fermi level: 1.834 states/eV per atom
* space-group type: No. 12
* E_form: 0.05 eV/atom

=====

# 2
An optimized crystal structure of Tb3Ce2PrSm6, computed with GGA-PBE.

Geometry as extended XYZ:
```
12
Lattice="3.1172 -5.4010 0.0000 3.1172 5.4010 0.0000 -2.0909 0.0000 11.7604" Properties=species:S:1:pos:R:3 pbc="T T T"
Tb 0.0000 0.0000 0.0000
Tb 3.1172 1.7988 0.0000
Tb 3.1172 -1.7988 0.0000
Ce 2.0717 3.6005 5.8802
Ce 2.0717 -3.6005 5.8802
Pr 2.0717 0.0000 5.8802
Sm 1.0216 1.8201 2.9382
Sm -0.0288 0.0000 8.8229
Sm 1.0216 -1.8201 2.9382
Sm 3.1219 1.8201 8.8222
Sm 4.1723 0.0000 2.9375
Sm 3.1219 -1.8201 8.8222
```

Properties
* density of states at the Fermi level: 2.055 states/eV per atom
* space-group type: No. 12
* E_form: 0.05 eV/atom

=====

# 3
An optimized crystal structure of TbCePr6Sm2, computed with GGA-PBE.

Geometry as extended XYZ:
```
10
Lattice="5.7276 -3.5493 0.0000 5.7276 3.5493 0.0000 -2.2162 0.0000 8.7080" Properties=species:S:1:pos:R:3 pbc="T T T"
Tb 0.0000 0.0000 0.0000
Ce 4.6195 0.0000 4.3540
Pr 2.1526 1.8756 6.1272
Pr 4.1256 0.0000 0.7461
Pr 7.0864 1.8756 2.5807
Pr 2.1526 -1.8756 6.1272
Pr 5.1135 0.0000 7.9619
Pr 7.0864 -1.8756 2.5807
Sm -0.4477 0.0000 5.7839
Sm 9.6868 0.0000 2.9241
```

Properties
* density of states at the Fermi level: 2.168 states/eV per atom
* space-group type: No. 12
* E_form: 0.23 eV/atom

=====

# 4
An optimized crystal structure of CePr3Sm2Te6, computed with GGA-PBE.

Geometry as extended XYZ:
```
12
Lattice="9.7941 -2.2345 0.0000 9.7941 2.2345 0.0000 -2.0872 0.0000 8.8133" Properties=species:S:1:pos:R:3 pbc="T T T"
Ce 0.0000 0.0000 0.0000
Pr -1.0436 0.0000 4.4067
Pr 6.1800 0.0000 1.4706
Pr 11.3208 0.0000 7.3427
Sm 5.1416 0.0000 5.8917
Sm 12.3592 0.0000 2.9216
Te 3.0690 0.0000 0.7657
Te 2.0937 0.0000 5.1000
Te 8.1977 0.0000 6.6201
Te 9.3032 0.0000 2.1933
Te 15.4071 0.0000 3.7133
Te 14.4319 0.0000 8.0476
```

Properties
* E_tot: -5.459 eV per atom
* density of states at the Fermi level: 1.061 states/eV per atom
* space-group type: No. 12

=====

# 5
An optimized crystal structure of Ce4Pr3SmTe8, computed with GGA-PBE.

Geometry as extended XYZ:
```
16
Lattice="4.4840 2.5888 7.4095 -4.4840 2.5888 7.4095 0.0000 -5.1777 7.4095" Properties=species:S:1:pos:R:3 pbc="T T T"
Ce 0.0000 0.0000 0.0000
Ce -2.2420 -1.2944 7.4095
Ce -2.2420 1.2944 14.8191
Ce 0.0000 2.5888 7.4095
Pr -4.4840 0.0000 11.1143
Pr -2.2420 1.2944 3.7048
Pr 2.2420 1.2944 3.7048
Sm 0.0000 0.0000 11.1143
Te 0.0000 0.0000 5.5807
Te 0.0000 -2.5639 9.2566
Te -2.2204 1.2819 9.2566
Te -2.2204 -1.2819 12.9720
Te 2.2204 1.2819 9.2566
Te 2.2204 -1.2819 12.9721
Te 0.0000 2.5639 12.9721
Te 0.0000 0.0000 16.6480
```

Properties
* E_tot: -5.648 eV per atom
* density of states at the Fermi level: 1.955 states/eV per atom
* space-group type: No. 166

=====

# 6
An optimized crystal structure of CePr4Sm3Te8, computed with GGA-PBE.

Geometry as extended XYZ:
```
16
Lattice="7.7754 -4.4851 0.0000 7.7754 4.4851 0.0000 -5.1882 0.0000 7.3637" Properties=species:S:1:pos:R:3 pbc="T T T"
Ce 0.0000 0.0000 0.0000
Pr -2.5941 0.0000 3.6818
Pr 1.2936 2.2425 3.6818
Pr 1.2936 -2.2425 3.6818
Pr 5.1813 0.0000 3.6818
Sm 3.8877 2.2425 0.0000
Sm 3.8877 -2.2425 0.0000
Sm 7.7754 0.0000 0.0000
Te 2.5992 0.0000 1.7949
Te 6.4739 2.2349 1.7952
Te -0.0035 0.0000 5.5750
Te 3.8887 2.2349 5.5685
Te 6.4739 -2.2349 1.7952
Te 10.3662 0.0000 1.7886
Te 3.8887 -2.2349 5.5685
Te 7.7634 0.0000 5.5688
```

Properties
* E_tot: -5.432 eV per atom
* density of states at the Fermi level: 1.063 states/eV per atom
* space-group type: No. 12

=====

# 7
An optimized crystal structure of CePr2SmTe5, computed with GGA-PBE.

Geometry as extended XYZ:
```
9
Lattice="5.6438 0.0000 0.0000 0.0000 5.6438 0.0000 0.0000 0.0000 11.9737" Properties=species:S:1:pos:R:3 pbc="T T T"
Ce 0.0000 0.0000 0.0000
Pr 2.8219 2.8219 4.1236
Pr 2.8219 2.8219 7.8501
Sm 0.0000 0.0000 5.9868
Te 0.0000 0.0000 2.9891
Te 0.0000 0.0000 8.9845
Te 0.0000 2.8219 5.9868
Te 2.8219 0.0000 5.9868
Te 2.8219 2.8219 0.0000
```

Properties
* E_tot: -4.794 eV per atom
* density of states at the Fermi level: 1.359 states/eV per atom
* space-group type: No. 123

=====

# 8
An optimized crystal structure of Ce2PrSmTe5, computed with GGA-PBE.

Geometry as extended XYZ:
```
9
Lattice="5.6264 0.0000 0.0000 0.0000 5.6264 0.0000 0.0000 0.0000 11.9232" Properties=species:S:1:pos:R:3 pbc="T T T"
Ce 0.0000 0.0000 1.9606
Ce 0.0000 0.0000 9.9625
Pr 2.8132 2.8132 5.9616
Sm 2.8132 2.8132 0.0000
Te 0.0000 0.0000 5.9616
Te 0.0000 2.8132 0.0000
Te 2.8132 0.0000 0.0000
Te 2.8132 2.8132 3.0037
Te 2.8132 2.8132 8.9194
```

Properties
* E_tot: -4.919 eV per atom
* density of states at the Fermi level: 2.140 states/eV per atom
* space-group type: No. 123

=====

# 9
An optimized crystal structure of Ce3PrSm3Te8, computed with GGA-PBE.

Geometry as extended XYZ:
```
15
Lattice="4.4566 2.5730 7.2864 -4.4566 2.5730 7.2864 0.0000 -5.1461 7.2864" Properties=species:S:1:pos:R:3 pbc="T T T"
Ce -2.2283 -1.2865 7.2864
Ce -2.2283 1.2865 14.5727
Ce 0.0000 2.5730 7.2864
Pr 0.0000 0.0000 0.0000
Sm -4.4566 0.0000 10.9296
Sm -2.2283 1.2865 3.6432
Sm 2.2283 1.2865 3.6432
Te 0.0000 0.0000 5.4377
Te -2.1725 -1.2543 12.6787
Te 0.0000 -2.5086 9.1804
Te -2.1725 1.2543 9.1804
Te 2.1725 -1.2543 12.6787
Te 0.0000 2.5086 12.6787
Te 2.1725 1.2543 9.1804
Te 0.0000 0.0000 16.4214
```

Properties
* E_tot: -5.549 eV per atom
* density of states at the Fermi level: 1.629 states/eV per atom
* space-group type: No. 166

=====

# 10
An optimized crystal structure of Ce3PrSm2Te6, computed with GGA-PBE.

Geometry as extended XYZ:
```
12
Lattice="3.8638 -6.7023 0.0000 3.8638 6.7023 0.0000 -2.5814 0.0000 7.3751" Properties=species:S:1:pos:R:3 pbc="T T T"
Ce 0.0000 0.0000 0.0000
Ce 3.8638 2.1987 0.0000
Ce 3.8638 -2.1987 0.0000
Pr 2.5731 0.0000 3.6876
Sm 2.5731 4.4613 3.6876
Sm 2.5731 -4.4613 3.6876
Te 1.2689 2.2622 1.8479
Te -0.0396 0.0000 5.5061
Te 1.2689 -2.2622 1.8479
Te 3.8774 2.2622 5.5272
Te 5.1859 0.0000 1.8691
Te 3.8774 -2.2622 5.5272
```

Properties
* E_tot: -5.632 eV per atom
* density of states at the Fermi level: 1.966 states/eV per atom
* space-group type: No. 12

=====

# 11
An optimized crystal structure of CePrSmTh, computed with GGA-PBE.

Geometry as extended XYZ:
```
16
Lattice="8.0852 0.0000 0.0000 0.0000 8.0852 0.0000 0.0000 0.0000 8.0852" Properties=species:S:1:pos:R:3 pbc="T T T"
Ce 0.0000 0.0000 0.0000
Ce 0.0000 4.0426 4.0426
Ce 4.0426 0.0000 4.0426
Ce 4.0426 4.0426 0.0000
Pr 2.0213 2.0213 2.0213
Pr 2.0213 6.0639 6.0639
Pr 6.0639 2.0213 6.0639
Pr 6.0639 6.0639 2.0213
Sm 0.0000 0.0000 4.0426
Sm 0.0000 4.0426 0.0000
Sm 4.0426 0.0000 0.0000
Sm 4.0426 4.0426 4.0426
Th 2.0213 2.0213 6.0639
Th 2.0213 6.0639 2.0213
Th 6.0639 2.0213 2.0213
Th 6.0639 6.0639 6.0639
```

Properties
* density of states at the Fermi level: 3.487 states/eV per atom
* ΔE to the lowest computed polymorph: 193 meV/atom
* space-group type: No. 216
* E_form: 0.24 eV/atom

=====

# 12
An optimized crystal structure of CePrSmTh, computed with GGA-PBE.

Geometry as extended XYZ:
```
8
Lattice="6.2040 0.0000 0.0000 0.0000 3.5836 0.0000 -2.0792 0.0000 11.6831" Properties=species:S:1:pos:R:3 pbc="T T T"
Ce 0.0000 0.0000 0.0000
Ce 3.1020 1.7918 0.0000
Pr -0.0156 0.0000 5.9941
Pr 3.0864 1.7918 5.9941
Sm 2.0654 0.0000 2.8474
Sm 5.1674 1.7918 2.8474
Th -1.0510 1.7918 8.9278
Th 2.0510 0.0000 8.9278
```

Properties
* density of states at the Fermi level: 1.769 states/eV per atom
* ΔE to the lowest computed polymorph: 0 meV/atom
* space-group type: No. 8
* E_form: 0.04 eV/atom

=====

# 13
An optimized crystal structure of Ce2PrSmTl4, computed with GGA-PBE.

Geometry as extended XYZ:
```
8
Lattice="2.7591 1.5930 9.0162 -2.7591 1.5930 9.0162 0.0000 -3.1860 9.0162" Properties=species:S:1:pos:R:3 pbc="T T T"
Ce 0.0000 0.0000 6.7671
Ce 0.0000 0.0000 20.2815
Pr 0.0000 0.0000 13.5243
Sm 0.0000 0.0000 0.0000
Tl 0.0000 0.0000 3.3575
Tl 0.0000 0.0000 10.1211
Tl 0.0000 0.0000 16.9275
Tl 0.0000 0.0000 23.6912
```

Properties
* density of states at the Fermi level: 2.472 states/eV per atom
* space-group type: No. 166
* E_form: -0.29 eV/atom

=====

# 14
An optimized crystal structure of CePr6SmTm2, computed with GGA-PBE.

Geometry as extended XYZ:
```
10
Lattice="5.6387 -3.5550 0.0000 5.6387 3.5550 0.0000 -1.8855 0.0000 8.7195" Properties=species:S:1:pos:R:3 pbc="T T T"
Ce 0.0000 0.0000 0.0000
Pr 3.3564 1.6573 1.7547
Pr 0.6972 0.0000 3.6765
Pr 6.0355 1.6573 6.9648
Pr 3.3564 -1.6573 1.7547
Pr 8.6946 0.0000 5.0429
Pr 6.0355 -1.6573 6.9648
Sm 4.6959 0.0000 4.3597
Tm 2.9932 0.0000 7.3488
Tm 6.3987 0.0000 1.3706
```

Properties
* density of states at the Fermi level: 2.258 states/eV per atom
* space-group type: No. 12
* E_form: 0.23 eV/atom

=====

# 15
An optimized crystal structure of CePr6Sm2Tm, computed with GGA-PBE.

Geometry as extended XYZ:
```
10
Lattice="5.7303 -3.5573 0.0000 5.7303 3.5573 0.0000 -2.2723 0.0000 8.6538" Properties=species:S:1:pos:R:3 pbc="T T T"
Ce 0.0000 0.0000 0.0000
Pr 3.2490 1.6714 1.7745
Pr 0.4611 0.0000 3.5878
Pr 5.9393 1.6714 6.8793
Pr 3.2490 -1.6714 1.7745
Pr 8.7272 0.0000 5.0660
Pr 5.9393 -1.6714 6.8793
Sm 2.8128 0.0000 7.2032
Sm 6.3755 0.0000 1.4506
Tm 4.5942 0.0000 4.3269
```

Properties
* density of states at the Fermi level: 2.125 states/eV per atom
* space-group type: No. 12
* E_form: 0.23 eV/atom

=====

# 16
An optimized crystal structure of CePrSm6Tm2, computed with GGA-PBE.

Geometry as extended XYZ:
```
10
Lattice="5.6953 -3.4196 0.0000 5.6953 3.4196 0.0000 -2.1642 0.0000 8.7000" Properties=species:S:1:pos:R:3 pbc="T T T"
Ce 0.0000 0.0000 0.0000
Pr 4.6132 0.0000 4.3500
Sm 3.3526 1.6293 1.7066
Sm 0.5993 0.0000 3.6316
Sm 5.8738 1.6293 6.9934
Sm 3.3526 -1.6293 1.7066
Sm 8.6271 0.0000 5.0684
Sm 5.8738 -1.6293 6.9934
Tm 2.8431 0.0000 7.3000
Tm 6.3834 0.0000 1.3999
```

Properties
* density of states at the Fermi level: 2.319 states/eV per atom
* space-group type: No. 12
* E_form: 0.24 eV/atom

=====

# 17
An optimized crystal structure of CePr2Sm3Y6, computed with GGA-PBE.

Geometry as extended XYZ:
```
12
Lattice="3.1345 -5.4291 0.0000 3.1345 5.4291 0.0000 -2.0871 0.0000 11.6906" Properties=species:S:1:pos:R:3 pbc="T T T"
Ce 0.0000 0.0000 0.0000
Pr 3.1345 1.8078 0.0000
Pr 3.1345 -1.8078 0.0000
Sm 2.0910 3.6130 5.8453
Sm 2.0910 0.0000 5.8453
Sm 2.0910 -3.6130 5.8453
Y 1.0364 1.7964 2.9265
Y -0.0114 0.0000 8.7610
Y 1.0364 -1.7964 2.9265
Y 3.1456 1.7964 8.7641
Y 4.1934 0.0000 2.9296
Y 3.1456 -1.7964 8.7641
```

Properties
* density of states at the Fermi level: 1.594 states/eV per atom
* space-group type: No. 12
* E_form: 0.03 eV/atom

=====

# 18
An optimized crystal structure of CePr3Sm2Y6, computed with GGA-PBE.

Geometry as extended XYZ:
```
12
Lattice="3.1426 -5.4422 0.0000 3.1426 5.4422 0.0000 -2.0923 0.0000 11.7005" Properties=species:S:1:pos:R:3 pbc="T T T"
Ce 0.0000 0.0000 0.0000
Pr 2.0964 3.6191 5.8502
Pr 2.0964 0.0000 5.8502
Pr 2.0964 -3.6191 5.8502
Sm 3.1426 1.8136 0.0000
Sm 3.1426 -1.8136 0.0000
Y 1.0397 1.8017 2.8903
Y -0.0099 0.0000 8.8087
Y 1.0397 -1.8017 2.8903
Y 3.1531 1.8017 8.8102
Y 4.2027 0.0000 2.8917
Y 3.1531 -1.8017 8.8102
```

Properties
* density of states at the Fermi level: 1.539 states/eV per atom
* space-group type: No. 12
* E_form: 0.03 eV/atom

=====

# 19
An optimized crystal structure of CePr6Sm2Y, computed with GGA-PBE.

Geometry as extended XYZ:
```
10
Lattice="5.8153 -3.6286 0.0000 5.8153 3.6286 0.0000 -5.6412 0.0000 8.3924" Properties=species:S:1:pos:R:3 pbc="T T T"
Ce 0.0000 0.0000 0.0000
Pr 3.3570 1.5880 1.6423
Pr 0.7793 0.0000 3.7385
Pr 2.6323 1.5880 6.7500
Pr 3.3570 -1.5880 1.6423
Pr 5.2100 0.0000 4.6539
Pr 2.6323 -1.5880 6.7500
Sm -0.5650 0.0000 6.9569
Sm 6.5543 0.0000 1.4355
Y -2.8206 0.0000 4.1962
```

Properties
* density of states at the Fermi level: 2.165 states/eV per atom
* space-group type: No. 12
* E_form: 0.23 eV/atom

=====

# 20
An optimized crystal structure of CePr6SmY2, computed with GGA-PBE.

Geometry as extended XYZ:
```
10
Lattice="5.6917 -3.5577 0.0000 5.6917 3.5577 0.0000 -1.9947 0.0000 8.7469" Properties=species:S:1:pos:R:3 pbc="T T T"
Ce 0.0000 0.0000 0.0000
Pr 3.3707 1.6668 1.7712
Pr 0.6447 0.0000 3.6614
Pr 6.0181 1.6668 6.9757
Pr 3.3707 -1.6668 1.7712
Pr 8.7441 0.0000 5.0855
Pr 6.0181 -1.6668 6.9757
Sm 4.6944 0.0000 4.3735
Y 2.9374 0.0000 7.3503
Y 6.4514 0.0000 1.3966
```

Properties
* density of states at the Fermi level: 2.293 states/eV per atom
* space-group type: No. 12
* E_form: 0.23 eV/atom

=====

# 21
An optimized crystal structure of Ce2PrSm3Y6, computed with GGA-PBE.

Geometry as extended XYZ:
```
12
Lattice="3.1141 -5.3940 0.0000 3.1141 5.3940 0.0000 -2.0754 0.0000 11.6502" Properties=species:S:1:pos:R:3 pbc="T T T"
Ce 3.1141 3.5960 0.0000
Ce 3.1141 -3.5960 0.0000
Pr 3.1141 0.0000 0.0000
Sm -1.0377 0.0000 5.8251
Sm 2.0764 1.7926 5.8251
Sm 2.0764 -1.7926 5.8251
Y -0.0086 1.8112 8.7557
Y 1.0243 0.0000 2.8944
Y -0.0086 -1.8112 8.7557
Y 4.1615 1.8112 2.8945
Y 3.1286 0.0000 8.7558
Y 4.1615 -1.8112 2.8945
```

Properties
* density of states at the Fermi level: 1.818 states/eV per atom
* space-group type: No. 12
* E_form: 0.05 eV/atom